1.
The following is a PBE calculation of a geometry-optimized Ba6As2PbCl3 structure, from Alexandria.

Output
Magnetization: 0.00 μB/f.u.
Energy relative to the elements, uncorrected: -1.50 eV per atom

Cell: 11.3422 11.3422 9.6466 Å, 100.67 100.67 23.60°
With the nearest neighbours (Å) after each atom.
Fractional positions:
Ba (0.0223, 0.0223, 0.2762)  1 As 3.21, 2 Cl 3.27, 2 Pb 3.50
Ba (0.3189, 0.3189, 0.4128)  3 As 3.26-3.27, 2 Cl 3.41
Ba (0.3352, 0.3352, 0.8990)  2 As 3.29, 3 Cl 3.30-3.46, 1 Pb 3.60
Ba (0.6648, 0.6648, 0.1010)  2 As 3.29, 3 Cl 3.30-3.46, 1 Pb 3.60
Ba (0.6811, 0.6811, 0.5872)  3 As 3.26-3.27, 2 Cl 3.41
Ba (0.9777, 0.9777, 0.7238)  1 As 3.21, 2 Cl 3.27, 2 Pb 3.50
As (0.1696, 0.1696, 0.3454)  6 Ba 3.21-3.29
As (0.8304, 0.8304, 0.6546)  6 Ba 3.21-3.29
Pb (0.5000, 0.5000, 0.0000)  6 Ba 3.50-3.60
Cl (0.1842, 0.1842, 0.8473)  5 Ba 3.30-3.46
Cl (0.5000, 0.5000, 0.5000)  4 Ba 3.27
Cl (0.8158, 0.8158, 0.1527)  5 Ba 3.30-3.46

---

2.
The following is a PBE calculation of a geometry-optimized KTiHg2 structure, from Alexandria.

Output
Magnetization: 0.00 μB/f.u.
E_form: 0.386 eV/atom

Cell: 5.2087 5.2087 5.2087 Å, 60.00 60.00 60.00°
With the nearest neighbours (Å) after each atom.
Fractional positions:
K (0.0000, 0.0000, 0.0000)  8 Hg 3.19
Ti (0.5000, 0.5000, 0.5000)  8 Hg 3.19
Hg (0.2500, 0.2500, 0.2500)  4 K 3.19, 4 Ti 3.19
Hg (0.7500, 0.7500, 0.7500)  4 K 3.19, 4 Ti 3.19

---

3.
The following is a PBE calculation of a geometry-optimized Rb2Hg4Au structure, from Alexandria.

Output
Magnetization: 0.00 μB/f.u.
E_form: -0.228 eV/atom

Cell: 7.1542 6.9948 9.6380 Å, 90.00 102.58 90.00°
With the nearest neighbours (Å) after each atom.
Fractional positions:
Rb (0.1327, 0.2500, 0.3901)  3 Au 3.55-3.93, 5 Hg 3.72-3.82
Rb (0.2159, 0.7500, 0.0149)  1 Au 3.45, 9 Hg 3.55-3.82
Rb (0.7841, 0.2500, 0.9851)  1 Au 3.45, 9 Hg 3.55-3.82
Rb (0.8673, 0.7500, 0.6099)  3 Au 3.55-3.93, 5 Hg 3.72-3.82
Hg (0.3045, 0.2500, 0.0412)  1 Au 2.92, 2 Hg 3.26
Hg (0.3124, 0.7500, 0.4180)  1 Au 2.93, 4 Hg 3.21-3.24
Hg (0.4006, 0.5120, 0.7138)  1 Au 3.00, 4 Hg 3.21-3.33
Hg (0.4006, 0.9880, 0.7138)  1 Au 3.00, 4 Hg 3.21-3.33
Hg (0.5994, 0.0120, 0.2862)  1 Au 3.00, 4 Hg 3.21-3.33
Hg (0.5994, 0.4880, 0.2862)  1 Au 3.00, 4 Hg 3.21-3.33
Hg (0.6876, 0.2500, 0.5820)  1 Au 2.93, 4 Hg 3.21-3.24
Hg (0.6955, 0.7500, 0.9588)  1 Au 2.92, 2 Hg 3.26
Au (0.0822, 0.2500, 0.7483)  4 Hg 2.92-3.00
Au (0.9178, 0.7500, 0.2517)  4 Hg 2.92-3.00

---

4.
The following is a PBE calculation of a geometry-optimized HfSb2SI structure, from Alexandria.

Output
Magnetization: 0.00 μB/f.u.
Energy relative to the elements, uncorrected: 0.46 eV per atom

Cell: 5.5772 5.5772 5.3917 Å, 90.00 90.00 90.00°
With the nearest neighbours (Å) after each atom.
Fractional positions:
Hf (0.0000, 0.0000, 0.0000)  2 I 2.70, 4 Sb 2.79
Sb (0.0000, 0.5000, 0.0000)  2 Hf 2.79
Sb (0.5000, 0.0000, 0.0000)  2 Hf 2.79
S (0.5000, 0.5000, 0.5000)  8 Sb 3.88, 4 I 3.94
I (0.0000, 0.0000, 0.5000)  2 Hf 2.70

---

5.
The following is a PBE calculation of a geometry-optimized CrNiIr structure, from Alexandria.

Output
Magnetization: 0.25 μB/f.u.
E_form: -0.041 eV/atom

Cell: 4.0577 4.0577 2.6145 Å, 90.00 90.00 120.00°
With the nearest neighbours (Å) after each atom.
Fractional positions:
Cr (0.0000, 0.0000, 0.0000)  3 Ni 2.34, 2 Cr 2.61
Ni (0.6667, 0.3333, 0.0000)  3 Cr 2.34, 2 Ni 2.61
Ir (0.3333, 0.6667, 0.5000)  2 Ir 2.61, 6 Cr 2.68, 6 Ni 2.68

---

6.
The following is a PBE calculation of a geometry-optimized Tc2Ge2O structure, from Alexandria.

Output
Magnetization: 1.81 μB/f.u.
Energy relative to the elements, uncorrected: 0.58 eV per atom

Cell: 6.6190 6.6190 6.6190 Å, 148.94 148.94 44.49°
With the nearest neighbours (Å) after each atom.
Fractional positions:
Tc (0.1014, 0.1014, 0.0000)  1 Tc 2.48, 4 Ge 2.54
Tc (0.8986, 0.8986, 0.0000)  1 Tc 2.48, 4 Ge 2.54
Ge (0.2500, 0.7500, 0.5000)  4 Ge 2.51, 4 Tc 2.54
Ge (0.7500, 0.2500, 0.5000)  4 Ge 2.51, 4 Tc 2.54
O (0.5000, 0.5000, 0.0000)  8 Tc 2.80

---

7.
The following is a PBE calculation of a geometry-optimized LaPr2Bi structure, from Alexandria.

Output
Magnetization: 0.44 μB/f.u.
E_form: -0.404 eV/atom

Cell: 4.2310 4.2310 7.4881 Å, 90.00 90.00 90.00°
With the nearest neighbours (Å) after each atom.
Fractional positions:
La (0.0000, 0.0000, 0.0000)  8 Pr 3.65, 2 Bi 3.74
Pr (0.5000, 0.5000, 0.2795)  1 Pr 3.30, 4 Bi 3.42, 4 La 3.65
Pr (0.5000, 0.5000, 0.7205)  1 Pr 3.30, 4 Bi 3.42, 4 La 3.65
Bi (0.0000, 0.0000, 0.5000)  8 Pr 3.42, 2 La 3.74

---

8.
The following is a PBE calculation of a geometry-optimized PrPPt3 structure, from Alexandria.

Output
Magnetization: 0.00 μB/f.u.
E_form: -0.988 eV/atom

Cell: 6.2128 6.2128 6.2128 Å, 141.57 141.57 55.48°
With the nearest neighbours (Å) after each atom.
Fractional positions:
Pr (0.0000, 0.0000, 0.0000)  8 Pt 3.03-3.33, 4 P 3.20
P (0.6255, 0.6255, 0.0000)  5 Pt 2.29-2.40
Pt (0.2391, 0.7391, 0.5000)  2 P 2.40
Pt (0.4175, 0.4175, 0.0000)  1 P 2.29
Pt (0.7391, 0.2391, 0.5000)  2 P 2.40

---

Copy entry 2 word for word.
The following is a PBE calculation of a geometry-optimized KTiHg2 structure, from Alexandria.

Output
Magnetization: 0.00 μB/f.u.
E_form: 0.386 eV/atom

Cell: 5.2087 5.2087 5.2087 Å, 60.00 60.00 60.00°
With the nearest neighbours (Å) after each atom.
Fractional positions:
K (0.0000, 0.0000, 0.0000)  8 Hg 3.19
Ti (0.5000, 0.5000, 0.5000)  8 Hg 3.19
Hg (0.2500, 0.2500, 0.2500)  4 K 3.19, 4 Ti 3.19
Hg (0.7500, 0.7500, 0.7500)  4 K 3.19, 4 Ti 3.19